[1]
Entry from Alexandria: crystalline Dy5Er4Mg2 at its relaxed geometry (PBE).

Values from the calculation:
Magnetization = 0.00 μB per cell
Raw total energy = -44.0 eV/f.u.
Crystal system = triclinic
N(E_F) = 1.29 states/eV/atom
ΔE_f = 0.0431 eV per atom

a = 3.4884 Å, b = 8.5337 Å, c = 11.5726 Å
α = 89.38°, β = 81.36°, γ = 78.25°
With the nearest neighbours (Å) after each atom.
Space group P-1 (No. 2)
Inequivalent atoms, fractional coordinates:
Dy 0.0000 0.0000 0.0000 (multiplicity 1)  6 Er 3.34-3.57, 6 Dy 3.46-3.49
Dy 0.2918 0.3461 0.0703 (multiplicity 2)  4 Er 3.28-3.50, 6 Dy 3.46-3.52
Dy 0.3813 0.5884 0.6501 (multiplicity 2)  2 Mg 3.38-3.40, 5 Dy 3.49-3.71, 4 Er 3.53-3.62
Er 0.0515 0.7043 0.1927 (multiplicity 2)  1 Mg 3.18, 6 Dy 3.28-3.53, 4 Er 3.45-3.49
Er 0.3432 0.0463 0.2702 (multiplicity 2)  3 Mg 3.27-3.43, 5 Dy 3.43-3.62, 4 Er 3.45-3.49
Mg 0.1332 0.1855 0.5395 (multiplicity 2)  4 Er 3.18-3.43, 2 Dy 3.38-3.40, 2 Mg 3.49

***

[2]
Entry from Alexandria: crystalline Dy3ErMg at its relaxed geometry (PBE).

Values from the calculation:
Magnetization = 0.01 μB per cell
Raw total energy = -20.0 eV/f.u.
Crystal system = monoclinic
Offset from the most stable computed form = 0.0 meV per atom
N(E_F) = 1.35 states/eV/atom
ΔE_f = -0.0167 eV per atom

a = 12.7649 Å, b = 3.6310 Å, c = 12.8731 Å
α = 90.00°, β = 93.40°, γ = 90.00°
With the nearest neighbours (Å) after each atom.
Space group C2/m (No. 12)
Inequivalent atoms, fractional coordinates:
Dy 0.0351 0.0000 0.1883 (multiplicity 4)  2 Mg 3.33, 7 Dy 3.44-3.63, 3 Er 3.48-3.53
Dy 0.1342 0.5000 0.9775 (multiplicity 4)  9 Dy 3.46-3.63, 3 Er 3.60-3.65
Dy 0.1503 0.0000 0.4365 (multiplicity 4)  4 Mg 3.27-3.33, 5 Dy 3.44-3.63, 2 Er 3.54
Er 0.2342 0.0000 0.7631 (multiplicity 4)  2 Mg 3.28, 8 Dy 3.48-3.65, 2 Er 3.63
Mg 0.0636 0.5000 0.6243 (multiplicity 4)  6 Dy 3.27-3.33, 2 Er 3.28, 3 Mg 3.50-3.63

***

[3]
Entry from Alexandria: crystalline Dy2ErMg8 at its relaxed geometry (PBE).

Values from the calculation:
Magnetization = 0.00 μB per cell
Raw total energy = -26.9 eV/f.u.
Crystal system = monoclinic
N(E_F) = 0.54 states/eV/atom
ΔE_f = -0.0309 eV per atom

a = 15.9274 Å, b = 5.0178 Å, c = 7.3138 Å
α = 90.00°, β = 108.49°, γ = 90.00°
With the nearest neighbours (Å) after each atom.
Space group C2/m (No. 12)
Inequivalent atoms, fractional coordinates:
Dy 0.2224 0.0000 0.1402 (multiplicity 4)  10 Mg 3.27-3.40, 2 Dy 3.52
Er 0.0000 0.5000 0.5000 (multiplicity 2)  12 Mg 3.14-3.36
Mg 0.0266 0.0000 0.2188 (multiplicity 4)  5 Mg 3.04-3.14, 1 Dy 3.35, 2 Er 3.36
Mg 0.0887 0.5000 0.9630 (multiplicity 4)  4 Mg 3.02-3.14, 1 Er 3.23, 3 Dy 3.28-3.33
Mg 0.1410 0.0000 0.6512 (multiplicity 4)  5 Mg 3.03-3.29, 2 Er 3.31, 2 Dy 3.35
Mg 0.1765 0.5000 0.3947 (multiplicity 4)  4 Mg 3.02-3.29, 1 Er 3.14, 3 Dy 3.27-3.34

***

[4]
Entry from Alexandria: crystalline DyEr2Mg at its relaxed geometry (PBE).

Values from the calculation:
Magnetization = 0.00 μB per cell
Raw total energy = -15.0 eV/f.u.
Crystal system = cubic
Offset from the most stable computed form = 96.2 meV per atom
N(E_F) = 1.30 states/eV/atom
ΔE_f = 0.0685 eV per atom

a = 7.7276 Å, b = 7.7276 Å, c = 7.7276 Å
α = 90.00°, β = 90.00°, γ = 90.00°
With the nearest neighbours (Å) after each atom.
Space group Fm-3m (No. 225)
Inequivalent atoms, fractional coordinates:
Dy 0.0000 0.0000 0.0000 (multiplicity 4)  8 Er 3.35
Er 0.2500 0.2500 0.2500 (multiplicity 8)  4 Dy 3.35, 4 Mg 3.35
Mg 0.0000 0.0000 0.5000 (multiplicity 4)  8 Er 3.35

***

> Which formula does entry 2 have?

Dy3ErMg

***

> Look up the raw total energy of the second one.

-20.0 eV/f.u.

***

> N(E_F) of number 2 (Dy3ErMg)?

1.35 states/eV/atom

***

> Which value of ΔE_f does entry 1 give?

0.0431 eV per atom